No. 1
{"formula": "Ce2SmRh", "functional": "GGA-PBE", "state": "optimized geometry", "lattice_angstrom": [[-1.429, 3.878, -4.480], [5.225, -5.430, -6.366], [-11.523, -7.641, -2.939]], "species": ["Sm", "Sm", "Rh", "Sm", "Sm", "Ce", "Rh", "Ce", "Ce", "Ce", "Rh", "Ce", "Rh", "Rh", "Sm", "Ce", "Ce", "Ce", "Ce", "Ce", "Rh", "Ce", "Ce", "Ce", "Rh", "Sm", "Rh", "Ce", "Sm", "Ce", "Ce", "Sm"], "frac_coords": [[0.949, 0.250, 0.643], [0.551, 0.250, 0.143], [0.468, 0.250, 0.571], [0.761, 0.250, 0.396], [0.449, 0.750, 0.857], [0.751, 0.554, 0.036], [0.228, 0.250, 0.824], [0.563, 0.559, 0.287], [0.251, 0.446, 0.464], [0.063, 0.059, 0.213], [0.272, 0.250, 0.324], [0.751, 0.946, 0.036], [0.772, 0.750, 0.176], [0.532, 0.750, 0.429], [0.239, 0.750, 0.604], [0.749, 0.946, 0.536], [0.249, 0.446, 0.964], [0.437, 0.059, 0.713], [0.563, 0.941, 0.287], [0.749, 0.554, 0.536], [0.032, 0.250, 0.071], [0.937, 0.559, 0.787], [0.063, 0.441, 0.213], [0.937, 0.941, 0.787], [0.728, 0.750, 0.676], [0.051, 0.750, 0.357], [0.968, 0.750, 0.929], [0.249, 0.054, 0.964], [0.261, 0.750, 0.104], [0.251, 0.054, 0.464], [0.437, 0.441, 0.713], [0.739, 0.250, 0.896]]}

=====

No. 2
{"formula": "Ce2SmRh3", "functional": "GGA-PBE", "state": "optimized geometry", "lattice_angstrom": [[5.737, 0.000, 0.000], [0.000, 7.943, 0.005], [-2.869, -1.985, 6.069]], "species": ["Rh", "Sm", "Ce", "Ce", "Rh", "Sm", "Rh", "Rh", "Rh", "Ce", "Rh", "Ce"], "frac_coords": [[0.173, 0.089, 0.355], [0.993, 0.750, 0.000], [0.338, 0.917, 0.668], [0.330, 0.417, 0.668], [0.827, 0.911, 0.645], [0.007, 0.250, 0.000], [0.492, 0.750, 0.000], [0.818, 0.411, 0.645], [0.508, 0.250, 0.000], [0.670, 0.583, 0.332], [0.182, 0.589, 0.355], [0.662, 0.083, 0.332]]}

=====

No. 3
{"formula": "Ce2SmRh2", "functional": "GGA-PBE", "state": "optimized geometry", "lattice_angstrom": [[4.450, -0.206, 0.395], [-1.146, 4.305, 0.395], [-0.554, -0.688, 5.872]], "species": ["Rh", "Ce", "Rh", "Sm", "Ce"], "frac_coords": [[0.500, 0.500, 0.755], [0.194, 0.806, 0.500], [0.500, 0.500, 0.245], [0.000, 0.000, 0.000], [0.806, 0.194, 0.500]]}

=====

No. 4
{"formula": "Ce2Sm2Rh3", "functional": "GGA-PBE", "state": "optimized geometry", "lattice_angstrom": [[-4.542, -4.958, 3.459], [7.192, -1.491, 1.797], [-1.755, 7.009, 2.232]], "species": ["Rh", "Sm", "Rh", "Rh", "Sm", "Sm", "Rh", "Ce", "Ce", "Rh", "Ce", "Ce", "Sm", "Rh"], "frac_coords": [[0.250, 0.878, 0.128], [0.000, 0.000, 0.380], [0.122, 0.372, 0.250], [0.378, 0.128, 0.750], [0.880, 0.500, 0.000], [0.500, 0.380, 0.500], [0.628, 0.750, 0.878], [0.386, 0.500, 0.000], [0.114, 0.614, 0.614], [0.872, 0.250, 0.622], [0.500, 0.886, 0.500], [0.000, 0.000, 0.886], [0.620, 0.120, 0.120], [0.750, 0.622, 0.372]]}

=====

No. 5
{"formula": "Ce4SmRh4", "functional": "GGA-PBE", "state": "optimized geometry", "lattice_angstrom": [[-5.428, 0.363, -1.616], [-2.355, -5.383, 6.700], [-1.105, 7.079, 5.300]], "species": ["Ce", "Ce", "Ce", "Ce", "Ce", "Rh", "Rh", "Rh", "Rh", "Ce", "Rh", "Rh", "Sm", "Rh", "Sm", "Ce", "Ce", "Rh"], "frac_coords": [[0.560, 0.092, 0.310], [0.560, 0.908, 0.690], [0.060, 0.810, 0.408], [0.940, 0.592, 0.810], [0.440, 0.310, 0.908], [0.932, 0.705, 0.124], [0.568, 0.205, 0.624], [0.568, 0.795, 0.376], [0.432, 0.376, 0.205], [0.440, 0.690, 0.092], [0.068, 0.876, 0.705], [0.432, 0.624, 0.795], [0.500, 0.500, 0.500], [0.932, 0.295, 0.876], [0.000, 0.000, 0.000], [0.940, 0.408, 0.190], [0.060, 0.190, 0.592], [0.068, 0.124, 0.295]]}

=====

No. 6
{"formula": "Ce2SmRh", "functional": "GGA-PBE", "state": "optimized geometry", "lattice_angstrom": [[3.824, 0.000, 0.000], [1.912, 3.312, 0.000], [1.912, 1.104, 9.128]], "species": ["Ce", "Sm", "Rh", "Ce"], "frac_coords": [[0.271, 0.271, 0.188], [0.500, 0.500, 0.501], [0.667, 0.667, 0.999], [0.063, 0.063, 0.812]]}

=====

Number 1: ΔH_f (0 K) -0.3815 eV/atom. Number 2: ΔH_f (0 K) -0.6663 eV/atom. Number 3: ΔH_f (0 K) -0.2823 eV/atom. Number 4: ΔH_f (0 K) -0.6703 eV/atom. Number 5: ΔH_f (0 K) -0.6148 eV/atom. Number 6: ΔH_f (0 K) -0.2552 eV/atom.